1.
{"formula": "Sc3AlMo", "functional": "PBEsol", "state": "optimized geometry", "cell": [[4.910, 0.000, 0.000], [0.000, 4.910, 0.000], [0.000, 0.000, 4.910]], "species": ["Sc", "Sc", "Sc", "Al", "Mo"], "frac_coords": [[0.000, 0.000, 0.500], [0.000, 0.500, 0.000], [0.500, 0.000, 0.000], [0.500, 0.500, 0.500], [0.000, 0.000, 0.000]], "dos_at_fermi_per_ev_fu": 5.847, "final_energy_ev_per_atom": -6.603, "sg": "No. 221", "crystal_system": "cubic", "magmom_total_mub_per_cell": 0.00}

***

2.
{"formula": "MgRh2", "functional": "PBEsol", "state": "optimized geometry", "cell": [[0.000, 3.606, 3.606], [3.606, 0.000, 3.606], [3.606, 3.606, 0.000]], "species": ["Mg", "Mg", "Rh", "Rh", "Rh", "Rh"], "frac_coords": [[0.125, 0.125, 0.125], [0.875, 0.875, 0.875], [0.000, 0.500, 0.500], [0.500, 0.000, 0.500], [0.500, 0.500, 0.000], [0.500, 0.500, 0.500]], "dos_at_fermi_per_ev_fu": 3.662, "final_energy_ev_per_atom": -6.197, "sg": "No. 227", "crystal_system": "cubic", "magmom_total_mub_per_cell": 0.00}

***

3.
{"formula": "MgTlPb2", "functional": "PBEsol", "state": "optimized geometry", "cell": [[-2.384, 2.384, 4.823], [2.384, -2.384, 4.823], [2.384, 2.384, -4.823]], "species": ["Mg", "Tl", "Pb", "Pb"], "frac_coords": [[0.000, 0.000, 0.000], [0.500, 0.500, 0.000], [0.250, 0.750, 0.500], [0.750, 0.250, 0.500]], "dos_at_fermi_per_ev_fu": 1.940, "final_energy_ev_per_atom": -3.102, "sg": "No. 139", "crystal_system": "tetragonal", "magmom_total_mub_per_cell": 0.00}

***

4.
{"formula": "SnOs2SeO", "functional": "PBEsol", "state": "optimized geometry", "cell": [[4.967, 0.000, 0.000], [0.000, 4.967, 0.000], [0.000, 0.000, 5.143]], "species": ["Sn", "Os", "Os", "Se", "O"], "frac_coords": [[0.000, 0.000, 0.000], [0.000, 0.500, 0.000], [0.500, 0.000, 0.000], [0.000, 0.000, 0.500], [0.500, 0.500, 0.500]], "dos_at_fermi_per_ev_fu": 6.738, "raw_formation_energy_ev_per_fu": 14.3, "sg": "No. 123", "crystal_system": "tetragonal", "magmom_total_mub_per_cell": 6.41}

***

5.
{"formula": "SrTl2Fe", "functional": "PBEsol", "state": "optimized geometry", "cell": [[0.000, 3.671, 3.671], [3.671, 0.000, 3.671], [3.671, 3.671, 0.000]], "species": ["Sr", "Tl", "Tl", "Fe"], "frac_coords": [[0.000, 0.000, 0.000], [0.500, 0.500, 0.500], [0.750, 0.750, 0.750], [0.250, 0.250, 0.250]], "dos_at_fermi_per_ev_fu": 8.433, "final_energy_ev_per_atom": -3.604, "sg": "No. 216", "crystal_system": "cubic", "magmom_total_mub_per_cell": 2.94}

***

6.
{"formula": "DyB12", "functional": "PBEsol", "state": "optimized geometry", "cell": [[0.000, 3.728, 3.728], [3.728, 0.000, 3.728], [3.728, 3.728, 0.000]], "species": ["Dy", "B", "B", "B", "B", "B", "B", "B", "B", "B", "B", "B", "B"], "frac_coords": [[0.000, 0.000, 0.000], [0.162, 0.500, 0.500], [0.162, 0.500, 0.838], [0.162, 0.838, 0.500], [0.500, 0.162, 0.500], [0.500, 0.162, 0.838], [0.500, 0.500, 0.162], [0.500, 0.500, 0.838], [0.500, 0.838, 0.162], [0.500, 0.838, 0.500], [0.838, 0.162, 0.500], [0.838, 0.500, 0.162], [0.838, 0.500, 0.500]], "dos_at_fermi_per_ev_fu": 0.447, "final_energy_ev_per_atom": -7.144, "sg": "No. 225", "crystal_system": "cubic", "magmom_total_mub_per_cell": 0.00}

***

7.
{"formula": "NbCoB2", "functional": "PBEsol", "state": "optimized geometry", "cell": [[-1.794, 1.794, 6.716], [1.794, -1.794, 6.716], [1.794, 1.794, -6.716]], "species": ["Nb", "Nb", "Co", "Co", "B", "B", "B", "B"], "frac_coords": [[0.375, 0.625, 0.750], [0.625, 0.375, 0.250], [0.125, 0.875, 0.250], [0.875, 0.125, 0.750], [0.000, 0.000, 0.000], [0.000, 0.000, 0.500], [0.000, 0.500, 0.000], [0.500, 0.000, 0.500]], "dos_at_fermi_per_ev_fu": 2.413, "sg": "No. 141", "de_polymorph_mev_per_atom": 691.1, "crystal_system": "tetragonal", "magmom_total_mub_per_cell": 0.00}

***

8.
{"formula": "Zn2PtAu", "functional": "PBEsol", "state": "optimized geometry", "cell": [[4.728, -1.421, 0.000], [4.728, 1.421, 0.000], [-1.221, 0.000, 4.347]], "species": ["Zn", "Zn", "Pt", "Au"], "frac_coords": [[0.000, 0.000, 0.000], [0.737, 0.737, 0.346], [0.257, 0.257, 0.861], [0.485, 0.485, 0.496]], "dos_at_fermi_per_ev_fu": 1.047, "final_energy_ev_per_atom": -3.856, "sg": "No. 8", "crystal_system": "monoclinic", "magmom_total_mub_per_cell": 0.00}

***

9.
{"formula": "HfZrNiO2", "functional": "PBEsol", "state": "optimized geometry", "cell": [[3.913, 0.000, 0.000], [0.000, 3.913, 0.000], [0.000, 0.000, 6.357]], "species": ["Hf", "Zr", "Ni", "O", "O"], "frac_coords": [[0.000, 0.000, 0.000], [0.000, 0.000, 0.500], [0.500, 0.500, 0.000], [0.000, 0.500, 0.500], [0.500, 0.000, 0.500]], "dos_at_fermi_per_ev_fu": 5.141, "raw_formation_energy_ev_per_fu": -3.3, "sg": "No. 123", "crystal_system": "tetragonal", "magmom_total_mub_per_cell": 0.01}

***

10.
{"formula": "HfBeZnBi2", "functional": "PBEsol", "state": "optimized geometry", "cell": [[5.505, 0.000, 0.000], [0.000, 5.505, 0.000], [0.000, 0.000, 5.220]], "species": ["Hf", "Be", "Zn", "Bi", "Bi"], "frac_coords": [[0.000, 0.000, 0.000], [0.500, 0.500, 0.500], [0.000, 0.000, 0.500], [0.000, 0.500, 0.000], [0.500, 0.000, 0.000]], "dos_at_fermi_per_ev_fu": 2.851, "final_energy_ev_per_atom": -3.912, "sg": "No. 123", "crystal_system": "tetragonal", "magmom_total_mub_per_cell": 0.00}

***

11.
{"formula": "CrNi2Cl", "functional": "PBEsol", "state": "optimized geometry", "cell": [[1.408, 0.813, 7.285], [-1.408, 0.813, 7.285], [0.000, -1.626, 7.285]], "species": ["Cr", "Ni", "Ni", "Cl"], "frac_coords": [[0.000, 0.000, 0.000], [0.252, 0.252, 0.252], [0.748, 0.748, 0.748], [0.500, 0.500, 0.500]], "dos_at_fermi_per_ev_fu": 5.183, "raw_formation_energy_ev_per_fu": 1.4, "sg": "No. 166", "de_polymorph_mev_per_atom": 39.7, "crystal_system": "trigonal", "magmom_total_mub_per_cell": 1.94}

***

12.
{"formula": "Hf6Be15Ni8", "functional": "PBEsol", "state": "optimized geometry", "cell": [[0.000, 5.430, 5.430], [5.430, 0.000, 5.430], [5.430, 5.430, 0.000]], "species": ["Hf", "Hf", "Hf", "Hf", "Hf", "Hf", "Be", "Be", "Be", "Be", "Be", "Be", "Be", "Be", "Be", "Be", "Be", "Be", "Be", "Be", "Be", "Ni", "Ni", "Ni", "Ni", "Ni", "Ni", "Ni", "Ni"], "frac_coords": [[0.209, 0.209, 0.791], [0.209, 0.791, 0.209], [0.209, 0.791, 0.791], [0.791, 0.209, 0.209], [0.791, 0.209, 0.791], [0.791, 0.791, 0.209], [0.000, 0.000, 0.500], [0.000, 0.500, 0.000], [0.000, 0.500, 0.500], [0.177, 0.177, 0.177], [0.177, 0.177, 0.470], [0.177, 0.470, 0.177], [0.470, 0.177, 0.177], [0.500, 0.000, 0.000], [0.500, 0.000, 0.500], [0.500, 0.500, 0.000], [0.500, 0.500, 0.500], [0.530, 0.823, 0.823], [0.823, 0.530, 0.823], [0.823, 0.823, 0.530], [0.823, 0.823, 0.823], [0.129, 0.624, 0.624], [0.376, 0.376, 0.376], [0.376, 0.376, 0.871], [0.376, 0.871, 0.376], [0.624, 0.129, 0.624], [0.624, 0.624, 0.129], [0.624, 0.624, 0.624], [0.871, 0.376, 0.376]], "dos_at_fermi_per_ev_fu": 19.506, "final_energy_ev_per_atom": -6.367, "sg": "No. 225", "crystal_system": "cubic", "magmom_total_mub_per_cell": 0.00}

***

13.
{"formula": "Fe2SiMo", "functional": "PBEsol", "state": "optimized geometry", "cell": [[2.710, 0.000, 0.000], [0.000, 2.710, 0.000], [0.000, 0.000, 6.182]], "species": ["Fe", "Fe", "Si", "Mo"], "frac_coords": [[0.000, 0.000, 0.218], [0.000, 0.000, 0.782], [0.500, 0.500, 0.000], [0.500, 0.500, 0.500]], "dos_at_fermi_per_ev_fu": 4.008, "raw_formation_energy_ev_per_fu": -1.3, "sg": "No. 123", "crystal_system": "tetragonal", "magmom_total_mub_per_cell": 0.00}

***

14.
{"formula": "Sc4C5", "functional": "PBEsol", "state": "optimized geometry", "cell": [[-4.351, 4.351, 1.403], [4.351, -4.351, 1.403], [4.351, 4.351, -1.403]], "species": ["Sc", "Sc", "Sc", "Sc", "C", "C", "C", "C", "C"], "frac_coords": [[0.000, 0.248, 0.248], [0.000, 0.752, 0.752], [0.248, 0.000, 0.248], [0.752, 0.000, 0.752], [0.000, 0.000, 0.000], [0.278, 0.278, 0.555], [0.278, 0.722, 0.000], [0.722, 0.278, 0.000], [0.722, 0.722, 0.445]], "dos_at_fermi_per_ev_fu": 3.114, "final_energy_ev_per_atom": -8.329, "sg": "No. 139", "crystal_system": "tetragonal", "magmom_total_mub_per_cell": 0.00}

***

15.
{"formula": "KBaPd3", "functional": "PBEsol", "state": "optimized geometry", "cell": [[5.096, 0.000, 0.000], [0.000, 5.096, 0.000], [0.000, 0.000, 5.096]], "species": ["K", "Ba", "Pd", "Pd", "Pd"], "frac_coords": [[0.000, 0.000, 0.000], [0.500, 0.500, 0.500], [0.000, 0.000, 0.500], [0.000, 0.500, 0.000], [0.500, 0.000, 0.000]], "dos_at_fermi_per_ev_fu": 2.308, "final_energy_ev_per_atom": -3.522, "sg": "No. 221", "crystal_system": "cubic", "magmom_total_mub_per_cell": 0.00}

***

16.
{"formula": "CrSi2Hg", "functional": "PBEsol", "state": "optimized geometry", "cell": [[-1.901, 1.901, 4.219], [1.901, -1.901, 4.219], [1.901, 1.901, -4.219]], "species": ["Cr", "Si", "Si", "Hg"], "frac_coords": [[0.000, 0.000, 0.000], [0.250, 0.750, 0.500], [0.500, 0.500, 0.000], [0.750, 0.250, 0.500]], "dos_at_fermi_per_ev_fu": 2.907, "raw_formation_energy_ev_per_fu": 1.7, "sg": "No. 119", "crystal_system": "tetragonal", "magmom_total_mub_per_cell": 2.56}

***

17.
{"formula": "Ta2RuAu", "functional": "PBEsol", "state": "optimized geometry", "cell": [[2.914, 0.000, 0.000], [0.000, 4.547, 0.000], [-0.396, 0.000, 4.910]], "species": ["Ta", "Ta", "Ru", "Au"], "frac_coords": [[0.000, 0.000, 0.000], [0.134, 0.500, 0.635], [0.574, 0.000, 0.513], [0.556, 0.500, 0.155]], "dos_at_fermi_per_ev_fu": 3.191, "sg": "No. 6", "de_polymorph_mev_per_atom": 73.6, "crystal_system": "monoclinic", "magmom_total_mub_per_cell": 0.00}

***

18.
{"formula": "Fe3Co5", "functional": "PBEsol", "state": "optimized geometry", "cell": [[2.787, 0.000, 0.000], [0.000, 3.928, 0.000], [0.000, 0.000, 7.862]], "species": ["Fe", "Fe", "Fe", "Co", "Co", "Co", "Co", "Co"], "frac_coords": [[0.000, 0.000, 0.000], [0.000, 0.500, 0.249], [0.500, 0.000, 0.254], [0.000, 0.000, 0.506], [0.000, 0.500, 0.741], [0.500, 0.000, 0.758], [0.500, 0.500, 0.496], [0.500, 0.500, 0.998]], "dos_at_fermi_per_ev_fu": 7.904, "final_energy_ev_per_atom": -8.144, "sg": "No. 25", "crystal_system": "orthorhombic", "magmom_total_mub_per_cell": 16.13}

***

19.
{"formula": "Ba2CuHg", "functional": "PBEsol", "state": "optimized geometry", "cell": [[4.819, 0.000, 0.000], [0.000, 2.321, 6.047], [0.000, -2.321, 6.047]], "species": ["Ba", "Ba", "Cu", "Hg"], "frac_coords": [[0.000, 0.000, 0.000], [0.500, 0.283, 0.283], [0.000, 0.698, 0.698], [0.500, 0.580, 0.580]], "dos_at_fermi_per_ev_fu": 3.274, "final_energy_ev_per_atom": -2.513, "sg": "No. 38", "crystal_system": "orthorhombic", "magmom_total_mub_per_cell": 0.00}

***

20.
{"formula": "InAs2RuBr", "functional": "PBEsol", "state": "optimized geometry", "cell": [[4.681, 0.000, 0.000], [0.000, 4.681, 0.000], [0.000, 0.000, 5.421]], "species": ["In", "As", "As", "Ru", "Br"], "frac_coords": [[0.000, 0.000, 0.000], [0.000, 0.500, 0.500], [0.500, 0.000, 0.500], [0.500, 0.500, 0.500], [0.500, 0.500, 0.000]], "dos_at_fermi_per_ev_fu": 3.089, "raw_formation_energy_ev_per_fu": 1.1, "sg": "No. 123", "crystal_system": "tetragonal", "magmom_total_mub_per_cell": 0.00}

***

21.
{"formula": "ZrCoRh2", "functional": "PBEsol", "state": "optimized geometry", "cell": [[4.426, -1.446, 0.000], [4.426, 1.446, 0.000], [-1.031, 0.000, 4.497]], "species": ["Zr", "Co", "Rh", "Rh"], "frac_coords": [[0.000, 0.000, 0.000], [0.500, 0.500, 0.500], [0.242, 0.242, 0.729], [0.758, 0.758, 0.271]], "dos_at_fermi_per_ev_fu": 3.855, "final_energy_ev_per_atom": -8.542, "sg": "No. 12", "crystal_system": "monoclinic", "magmom_total_mub_per_cell": 1.35}

***

22.
{"formula": "LiMnOs3", "functional": "PBEsol", "state": "optimized geometry", "cell": [[4.388, 0.000, 0.000], [0.000, 4.388, 0.000], [0.000, 0.000, 4.388]], "species": ["Li", "Mn", "Os", "Os", "Os"], "frac_coords": [[0.000, 0.000, 0.000], [0.500, 0.500, 0.500], [0.000, 0.500, 0.500], [0.500, 0.000, 0.500], [0.500, 0.500, 0.000]], "dos_at_fermi_per_ev_fu": 7.082, "final_energy_ev_per_atom": -8.011, "sg": "No. 221", "crystal_system": "cubic", "magmom_total_mub_per_cell": 0.03}

***

23.
{"formula": "Sr4Mn2Cu3S4O4", "functional": "PBEsol", "state": "optimized geometry", "cell": [[2.798, -8.480, 0.000], [2.798, 8.480, 0.000], [0.000, 0.000, 5.596]], "species": ["Sr", "Sr", "Sr", "Sr", "Mn", "Mn", "Cu", "Cu", "Cu", "S", "S", "S", "S", "O", "O", "O", "O"], "frac_coords": [[0.099, 0.398, 0.248], [0.398, 0.099, 0.752], [0.602, 0.901, 0.752], [0.901, 0.602, 0.248], [0.000, 0.500, 0.749], [0.500, 0.000, 0.251], [0.000, 0.000, 0.500], [0.500, 0.500, 0.000], [0.500, 0.500, 0.500], [0.175, 0.330, 0.748], [0.330, 0.175, 0.252], [0.670, 0.825, 0.252], [0.825, 0.670, 0.748], [0.248, 0.752, 0.500], [0.250, 0.750, 0.000], [0.750, 0.250, 0.000], [0.752, 0.248, 0.500]], "dos_at_fermi_per_ev_fu": 1.161, "raw_formation_energy_ev_per_fu": -27.8, "sg": "No. 21", "crystal_system": "orthorhombic", "magmom_total_mub_per_cell": 9.05}

***

24.
{"formula": "BaLaPb", "functional": "PBEsol", "state": "optimized geometry", "cell": [[0.000, 3.970, 3.970], [3.970, 0.000, 3.970], [3.970, 3.970, 0.000]], "species": ["Ba", "La", "Pb"], "frac_coords": [[0.000, 0.000, 0.000], [0.500, 0.500, 0.500], [0.250, 0.250, 0.250]], "dos_at_fermi_per_ev_fu": 4.074, "final_energy_ev_per_atom": -4.104, "sg": "No. 216", "crystal_system": "cubic", "magmom_total_mub_per_cell": 0.00}

***

25.
{"formula": "InSi2F", "functional": "PBEsol", "state": "optimized geometry", "cell": [[0.000, 3.178, 3.178], [3.178, 0.000, 3.178], [3.178, 3.178, 0.000]], "species": ["In", "Si", "Si", "F"], "frac_coords": [[0.000, 0.000, 0.000], [0.250, 0.250, 0.250], [0.750, 0.750, 0.750], [0.500, 0.500, 0.500]], "dos_at_fermi_per_ev_fu": 1.087, "raw_formation_energy_ev_per_fu": -0.5, "sg": "No. 225", "crystal_system": "cubic", "magmom_total_mub_per_cell": 0.00}

***

26.
{"formula": "Ag3RuSe", "functional": "PBEsol", "state": "optimized geometry", "cell": [[4.918, 0.000, 0.000], [0.000, 4.918, 0.000], [0.000, 0.000, 4.918]], "species": ["Ag", "Ag", "Ag", "Ru", "Se"], "frac_coords": [[0.000, 0.000, 0.500], [0.000, 0.500, 0.000], [0.500, 0.000, 0.000], [0.000, 0.000, 0.000], [0.500, 0.500, 0.500]], "dos_at_fermi_per_ev_fu": 5.214, "raw_formation_energy_ev_per_fu": 7.4, "sg": "No. 221", "crystal_system": "cubic", "magmom_total_mub_per_cell": 2.49}